{
  "formula": "Li3TbP2",
  "functional": "GGA-PBE",
  "state": "optimized geometry",
  "lattice": [[3.912, 0.000, 0.000], [-1.956, 7.632, -2.027], [0.000, 0.650, 9.805]],
  "species": ["Li", "Li", "Li", "P", "P", "Tb", "Li", "P", "Li", "Li", "Tb", "Tb", "P", "Li", "P", "Li", "Li", "P"],
  "frac_coords": [[0.683, 0.365, 0.991], [0.377, 0.754, 0.767], [0.950, 0.899, 0.660], [0.358, 0.715, 0.504], [0.195, 0.389, 0.151], [0.165, 0.329, 0.719], [0.790, 0.580, 0.591], [0.805, 0.611, 0.849], [0.317, 0.635, 0.009], [0.210, 0.420, 0.409], [0.000, 0.000, 0.000], [0.835, 0.671, 0.281], [0.455, 0.911, 0.189], [0.500, 0.000, 0.500], [0.642, 0.285, 0.496], [0.623, 0.246, 0.233], [0.050, 0.101, 0.340], [0.545, 0.089, 0.811]],
  "volume_a3_per_atom": 16.551,
  "n_ef_per_ev_cell": 0.0,
  "energy_ev_per_cell": -79.95
}